(1)
DFT (PBE-GGA) results for a relaxed structure of TbHo2Pd.

Lattice parameters (Å, degrees): 3.7567 9.3038 6.4266 90.00 106.97 90.00
With the nearest neighbours (Å) after each atom.
Fractional positions:
Tb 0.0619 0.2500 0.1247  2 Pd 3.09
Tb 0.9381 0.7500 0.8753  2 Pd 3.09
Ho 0.3650 0.0601 0.7292  2 Pd 2.87
Ho 0.3650 0.4399 0.7292  2 Pd 2.87
Ho 0.6350 0.5601 0.2708  2 Pd 2.87
Ho 0.6350 0.9399 0.2708  2 Pd 2.87
Pd 0.2379 0.7500 0.4763  4 Ho 2.87, 2 Tb 3.09
Pd 0.7621 0.2500 0.5237  4 Ho 2.87, 2 Tb 3.09

Polymorph energy (0 for the lowest one) = 20 meV per atom
Total magnetic moment = 0.000 μB per cell
Energy relative to the elements = -1.83 eV per formula unit


(2)
DFT (PBE-GGA) results for a relaxed structure of Sr2LaNb.

Lattice parameters (Å, degrees): 5.8605 5.8605 5.8605 60.00 60.00 60.00
With the nearest neighbours (Å) after each atom.
Fractional positions:
Sr 0.2500 0.2500 0.2500  4 La 3.59, 4 Nb 3.59
Sr 0.7500 0.7500 0.7500  4 La 3.59, 4 Nb 3.59
La 0.0000 0.0000 0.0000  8 Sr 3.59
Nb 0.5000 0.5000 0.5000  8 Sr 3.59

Total magnetic moment = 2.689 μB per cell
Energy relative to the elements = 3.10 eV per formula unit


(3)
DFT (PBE-GGA) results for a relaxed structure of Ti3CoCu.

Lattice parameters (Å, degrees): 4.4631 4.4631 4.4631 90.00 90.00 90.00
With the nearest neighbours (Å) after each atom.
Fractional positions:
Ti 0.0000 0.0000 0.5000  2 Co 2.23
Ti 0.0000 0.5000 0.0000  2 Co 2.23
Ti 0.5000 0.0000 0.0000  2 Co 2.23
Co 0.0000 0.0000 0.0000  6 Ti 2.23
Cu 0.5000 0.5000 0.5000  12 Ti 3.16

Polymorph energy (0 for the lowest one) = 0 meV per atom
Total magnetic moment = 0.011 μB per cell
Energy relative to the elements = 1.99 eV per formula unit


(4)
DFT (PBE-GGA) results for a relaxed structure of NdTmAlCd.

Lattice parameters (Å, degrees): 5.2558 5.2558 5.2558 60.00 60.00 60.00
With the nearest neighbours (Å) after each atom.
Fractional positions:
Nd 0.0000 0.0000 0.0000  4 Cd 3.22, 4 Al 3.22
Tm 0.5000 0.5000 0.5000  4 Al 3.22, 4 Cd 3.22
Al 0.7500 0.7500 0.7500  4 Tm 3.22, 4 Nd 3.22
Cd 0.2500 0.2500 0.2500  4 Tm 3.22, 4 Nd 3.22

Polymorph energy (0 for the lowest one) = 22 meV per atom
Total magnetic moment = 0.000 μB per cell
Energy relative to the elements = -1.32 eV per formula unit


(5)
DFT (PBE-GGA) results for a relaxed structure of Sm2YCo.

Lattice parameters (Å, degrees): 7.0419 9.7576 6.2477 90.00 90.00 90.00
With the nearest neighbours (Å) after each atom.
Fractional positions:
Sm 0.1749 0.0694 0.1754  2 Co 2.80-2.85
Sm 0.1749 0.4306 0.1754  2 Co 2.80-2.85
Sm 0.3251 0.5694 0.6754  2 Co 2.80-2.85
Sm 0.3251 0.9306 0.6754  2 Co 2.80-2.85
Sm 0.6749 0.0694 0.3246  2 Co 2.80-2.85
Sm 0.6749 0.4306 0.3246  2 Co 2.80-2.85
Sm 0.8251 0.5694 0.8246  2 Co 2.80-2.85
Sm 0.8251 0.9306 0.8246  2 Co 2.80-2.85
Y 0.0419 0.2500 0.6488  2 Co 2.73-2.78
Y 0.4581 0.7500 0.1488  2 Co 2.73-2.78
Y 0.5419 0.2500 0.8512  2 Co 2.73-2.78
Y 0.9581 0.7500 0.3512  2 Co 2.73-2.78
Co 0.1153 0.7500 0.9435  2 Y 2.73-2.78, 4 Sm 2.80-2.85
Co 0.3847 0.2500 0.4435  2 Y 2.73-2.78, 4 Sm 2.80-2.85
Co 0.6153 0.7500 0.5565  2 Y 2.73-2.78, 4 Sm 2.80-2.85
Co 0.8847 0.2500 0.0565  2 Y 2.73-2.78, 4 Sm 2.80-2.85

Polymorph energy (0 for the lowest one) = 0 meV per atom
Total magnetic moment = 0.000 μB per cell
Energy relative to the elements = -0.44 eV per formula unit


(6)
DFT (PBE-GGA) results for a relaxed structure of SbTe2PBr.

Lattice parameters (Å, degrees): 5.2849 5.2849 5.3241 90.00 90.00 90.00
With the nearest neighbours (Å) after each atom.
Fractional positions:
Sb 0.0000 0.0000 0.0000  2 P 2.66
Te 0.0000 0.5000 0.5000  2 P 2.64
Te 0.5000 0.0000 0.5000  2 P 2.64
P 0.0000 0.0000 0.5000  4 Te 2.64, 2 Sb 2.66
Br 0.5000 0.5000 0.0000  4 Sb 3.74, 8 Te 3.75

Polymorph energy (0 for the lowest one) = 0 meV per atom
Total magnetic moment = 0.000 μB per cell


(7)
DFT (PBE-GGA) results for a relaxed structure of LiFe2RuC.

Lattice parameters (Å, degrees): 3.8270 3.8270 4.0026 90.00 90.00 90.00
With the nearest neighbours (Å) after each atom.
Fractional positions:
Li 0.0000 0.0000 0.0000  4 Ru 2.71, 8 Fe 2.77
Fe 0.0000 0.5000 0.5000  2 C 1.91
Fe 0.5000 0.0000 0.5000  2 C 1.91
Ru 0.5000 0.5000 0.0000  2 C 2.00
C 0.5000 0.5000 0.5000  4 Fe 1.91, 2 Ru 2.00

Polymorph energy (0 for the lowest one) = 0 meV per atom
Total magnetic moment = 4.761 μB per cell
Energy relative to the elements = 0.71 eV per formula unit


(8)
DFT (PBE-GGA) results for a relaxed structure of Pm2Dy2HoTm.

Lattice parameters (Å, degrees): 6.9824 5.6255 9.7436 90.00 90.00 90.00
With the nearest neighbours (Å) after each atom.
Fractional positions:
Pm 0.0000 0.0000 0.0000  6 Pm 3.49-3.74, 6 Dy 3.67, 2 Ho 3.76
Pm 0.2500 0.5000 0.1778  5 Dy 3.18-3.49
Pm 0.5000 0.0000 0.0000  6 Pm 3.49-3.74, 6 Dy 3.67, 2 Ho 3.76
Pm 0.7500 0.5000 0.8222  5 Dy 3.18-3.49
Dy 0.2500 0.0000 0.3308  2 Pm 3.18, 3 Ho 3.19-3.49
Dy 0.2500 0.5000 0.8370  2 Ho 3.31, 7 Pm 3.32-3.67
Dy 0.7500 0.0000 0.6692  2 Pm 3.18, 3 Ho 3.19-3.49
Dy 0.7500 0.5000 0.1630  2 Ho 3.31, 7 Pm 3.32-3.67
Ho 0.2500 0.0000 0.6580  5 Dy 3.19-3.49
Ho 0.7500 0.0000 0.3420  5 Dy 3.19-3.49
Tm 0.0000 0.5000 0.5000  2 Tm 3.49, 2 Pm 3.59, 4 Ho 3.65, 6 Dy 3.70-3.72
Tm 0.5000 0.5000 0.5000  2 Tm 3.49, 2 Pm 3.59, 4 Ho 3.65, 6 Dy 3.70-3.72

Total magnetic moment = 0.014 μB per cell
Energy relative to the elements = 0.39 eV per formula unit


(9)
DFT (PBE-GGA) results for a relaxed structure of TcTeSeBr2.

Lattice parameters (Å, degrees): 5.0800 5.0800 4.8722 90.00 90.00 90.00
With the nearest neighbours (Å) after each atom.
Fractional positions:
Tc 0.0000 0.0000 0.0000  2 Se 2.44, 4 Br 2.54
Te 0.5000 0.5000 0.5000  8 Br 3.52, 4 Se 3.59
Se 0.0000 0.0000 0.5000  2 Tc 2.44
Br 0.0000 0.5000 0.0000  2 Tc 2.54
Br 0.5000 0.0000 0.0000  2 Tc 2.54

Polymorph energy (0 for the lowest one) = 0 meV per atom
Total magnetic moment = 0.319 μB per cell


(10)
DFT (PBE-GGA) results for a relaxed structure of TiHgPd4.

Lattice parameters (Å, degrees): 5.5962 7.7984 5.0170 90.00 114.86 90.00
With the nearest neighbours (Å) after each atom.
Fractional positions:
Ti 0.0000 0.0000 0.0000  6 Pd 2.52-2.68
Ti 0.0000 0.5000 0.5000  6 Pd 2.52-2.68
Hg 0.5000 0.0000 0.5000  8 Pd 2.76-2.93, 2 Ti 2.87
Hg 0.5000 0.5000 0.0000  8 Pd 2.76-2.93, 2 Ti 2.87
Pd 0.1093 0.1650 0.5995  2 Ti 2.66-2.68, 1 Hg 2.76, 6 Pd 2.83-2.93
Pd 0.1093 0.3350 0.0995  2 Ti 2.66-2.68, 1 Hg 2.76, 6 Pd 2.83-2.93
Pd 0.3599 0.6565 0.4232  1 Ti 2.52, 1 Hg 2.77
Pd 0.3599 0.8435 0.9232  1 Ti 2.52, 1 Hg 2.77
Pd 0.6401 0.1565 0.0768  1 Ti 2.52, 1 Hg 2.77
Pd 0.6401 0.3435 0.5768  1 Ti 2.52, 1 Hg 2.77
Pd 0.8907 0.6650 0.9005  2 Ti 2.66-2.68, 1 Hg 2.76, 6 Pd 2.83-2.93
Pd 0.8907 0.8350 0.4005  2 Ti 2.66-2.68, 1 Hg 2.76, 6 Pd 2.83-2.93

Total magnetic moment = 0.000 μB per cell
Energy relative to the elements = -1.79 eV per formula unit


(11)
DFT (PBE-GGA) results for a relaxed structure of LiCd2Pd2.

Lattice parameters (Å, degrees): 6.7720 6.7720 6.7720 144.02 144.02 51.80
With the nearest neighbours (Å) after each atom.
Fractional positions:
Li 0.0000 0.0000 0.0000  8 Pd 3.22
Cd 0.2500 0.7500 0.5000  4 Pd 2.74, 4 Cd 2.96
Cd 0.7500 0.2500 0.5000  4 Pd 2.74, 4 Cd 2.96
Pd 0.3947 0.3947 0.0000  1 Pd 2.56, 4 Cd 2.74
Pd 0.6053 0.6053 0.0000  1 Pd 2.56, 4 Cd 2.74

Polymorph energy (0 for the lowest one) = 241 meV per atom
Total magnetic moment = 0.000 μB per cell
Energy relative to the elements = -0.57 eV per formula unit


(12)
DFT (PBE-GGA) results for a relaxed structure of CaErGe2.

Lattice parameters (Å, degrees): 3.7644 3.7644 6.6919 90.00 90.00 90.00
With the nearest neighbours (Å) after each atom.
Fractional positions:
Ca 0.0000 0.0000 0.0000  8 Ge 3.29, 2 Er 3.35
Er 0.0000 0.0000 0.5000  8 Ge 3.01, 2 Ca 3.35
Ge 0.5000 0.5000 0.2886  1 Ge 2.83, 4 Er 3.01
Ge 0.5000 0.5000 0.7114  1 Ge 2.83, 4 Er 3.01

Total magnetic moment = 0.000 μB per cell
Energy relative to the elements = -2.27 eV per formula unit